[1]
Here is a geometry-optimized NaHfMg2Hg structure from Alexandria via LeMat-Bulk. Energies are from PBE-GGA.

Output
**Calculated total energy**: -1.8770 eV per atom
**Formation energy**: 1.076 eV per atom

The structure in CIF format:
```
data_NaHfMg2Hg
_space_group_name_H-M_alt 'P 4/m m m'
_space_group_IT_number 123
_space_group_name_Hall '-P 4 2'
_cell_length_a 4.971
_cell_length_b 4.971
_cell_length_c 5.328
_cell_angle_alpha 90.00
_cell_angle_beta 90.00
_cell_angle_gamma 90.00
loop_
_atom_site_label
_atom_site_type_symbol
_atom_site_fract_x
_atom_site_fract_y
_atom_site_fract_z
Na1 Na 0.000 0.000 0.000
Hf1 Hf 0.000 0.000 0.500
Mg1 Mg 0.000 0.500 0.000
Hg1 Hg 0.500 0.500 0.500
```

=====

[2]
Here is a geometry-optimized HfMgNiHg2 structure from Alexandria via LeMat-Bulk. Energies are from PBE-GGA.

Output
**Calculated total energy**: -2.8198 eV per atom
**Formation energy**: 0.767 eV per atom

The structure in CIF format:
```
data_HfMgNiHg2
_space_group_name_H-M_alt 'P 4/m m m'
_space_group_IT_number 123
_space_group_name_Hall '-P 4 2'
_cell_length_a 4.935
_cell_length_b 4.935
_cell_length_c 4.418
_cell_angle_alpha 90.00
_cell_angle_beta 90.00
_cell_angle_gamma 90.00
loop_
_atom_site_label
_atom_site_type_symbol
_atom_site_fract_x
_atom_site_fract_y
_atom_site_fract_z
Hf1 Hf 0.000 0.000 0.000
Mg1 Mg 0.500 0.500 0.500
Ni1 Ni 0.500 0.500 0.000
Hg1 Hg 0.000 0.500 0.500
```

=====

[3]
Here is a geometry-optimized HfMgHgPd structure from Alexandria via LeMat-Bulk. Energies are from PBE-GGA.

Output
**Calculated total energy**: -4.6615 eV per atom
**Formation energy**: -0.401 eV per atom

The structure in CIF format:
```
data_HfMgHgPd
_space_group_name_H-M_alt 'F -4 3 m'
_space_group_IT_number 216
_space_group_name_Hall 'F -4 2 3'
_cell_length_a 6.711
_cell_length_b 6.711
_cell_length_c 6.711
_cell_angle_alpha 90.00
_cell_angle_beta 90.00
_cell_angle_gamma 90.00
loop_
_atom_site_label
_atom_site_type_symbol
_atom_site_fract_x
_atom_site_fract_y
_atom_site_fract_z
Hf1 Hf 0.000 0.000 0.000
Mg1 Mg 0.000 0.000 0.500
Hg1 Hg 0.250 0.250 0.250
Pd1 Pd 0.250 0.250 0.750
```

=====

[4]
Here is a geometry-optimized HfMgScHg structure from Alexandria via LeMat-Bulk. Energies are from PBE-GGA.

Output
**Calculated total energy**: -4.5721 eV per atom
**Formation energy**: -0.027 eV per atom

The structure in CIF format:
```
data_HfMgScHg
_space_group_name_H-M_alt 'F -4 3 m'
_space_group_IT_number 216
_space_group_name_Hall 'F -4 2 3'
_cell_length_a 7.011
_cell_length_b 7.011
_cell_length_c 7.011
_cell_angle_alpha 90.00
_cell_angle_beta 90.00
_cell_angle_gamma 90.00
loop_
_atom_site_label
_atom_site_type_symbol
_atom_site_fract_x
_atom_site_fract_y
_atom_site_fract_z
Hf1 Hf 0.000 0.000 0.000
Mg1 Mg 0.250 0.250 0.750
Sc1 Sc 0.000 0.000 0.500
Hg1 Hg 0.250 0.250 0.250
```